[1]
Density functional theory data (GGA-PBE) for crystalline TmTe3 at its relaxed geometry.

- Total energy: -4.336 eV per atom

Geometry as POSCAR:
```
TmTe3
1.0
-7.990 9.728 -4.002
5.377 -11.983 1.412
-2.627 -0.786 3.333
Te Tm
6 2
direct
0.076 0.924 0.750 Te
0.293 0.707 0.250 Te
0.924 0.076 0.250 Te
0.423 0.577 0.750 Te
0.577 0.423 0.250 Te
0.707 0.293 0.750 Te
0.172 0.828 0.250 Tm
0.828 0.172 0.750 Tm
```

***

[2]
Density functional theory data (GGA-PBE) for crystalline Tm5Te6 at its relaxed geometry.

- Total energy: -5.061 eV per atom

Geometry as POSCAR:
```
Tm5Te6
1.0
3.789 5.042 -3.847
-7.266 -0.752 -1.103
-0.082 3.291 6.617
Tm Te
5 6
direct
0.829 0.171 0.500 Tm
0.171 0.829 0.500 Tm
0.664 0.336 0.000 Tm
0.500 0.500 0.500 Tm
0.336 0.664 0.000 Tm
0.597 0.920 0.758 Te
0.080 0.403 0.242 Te
0.759 0.759 0.246 Te
0.403 0.080 0.242 Te
0.920 0.597 0.758 Te
0.241 0.241 0.754 Te
```

***

[3]
Density functional theory data (GGA-PBE) for crystalline Tm2Te5 at its relaxed geometry.

- Total energy: -4.478 eV per atom

Geometry as POSCAR:
```
Tm2Te5
1.0
-21.275 5.704 -0.681
20.258 -7.367 4.577
0.962 3.813 1.878
Tm Te
4 10
direct
0.194 0.806 0.750 Tm
0.806 0.194 0.250 Tm
0.602 0.398 0.250 Tm
0.398 0.602 0.750 Tm
0.546 0.454 0.750 Te
0.876 0.124 0.250 Te
0.675 0.325 0.250 Te
0.954 0.046 0.750 Te
0.250 0.750 0.250 Te
0.750 0.250 0.750 Te
0.124 0.876 0.750 Te
0.046 0.954 0.250 Te
0.454 0.546 0.250 Te
0.325 0.675 0.750 Te
```

***

[4]
Density functional theory data (GGA-PBE) for crystalline TmTeW at its relaxed geometry.

- Total energy: -6.214 eV per atom

Geometry as POSCAR:
```
TmTeW
1.0
0.000 3.312 3.312
3.312 0.000 3.312
3.312 3.312 0.000
Te W Tm
1 1 1
direct
0.000 0.000 0.000 Te
0.750 0.750 0.750 W
0.250 0.250 0.250 Tm
```